[1]
11
Lattice="7.7101 0.1120 0.1647 -3.4654 6.8883 -0.1647 -3.4654 -2.6857 6.3453" Properties=species:S:1:pos:R:3 comment="RbCd6Sn4 (PBE, relaxed)" ef_mev_per_atom=81 vol_a3_per_atom=31.1 density_g_cm3=6.00 total_magnetization_mub_per_atom=0.00 n_ef_per_ev_cell=6.6 pbc="T T T"
Rb 0.0000 0.0000 0.0000
Cd -4.5865 4.0887 3.2008
Cd -4.5865 1.4734 4.9791
Cd 4.2063 0.9289 1.3661
Cd 2.1223 -1.2869 3.2550
Cd -1.1849 2.0261 2.9797
Cd 2.1223 3.5002 0.0000
Sn -2.6539 -0.4453 3.7635
Sn 1.6114 1.7555 2.5817
Sn -2.6539 3.6636 0.9696
Sn -2.4553 3.5432 5.2109



[2]
7
Lattice="-1.5903 3.8123 3.1280 -1.5036 -1.0773 4.8400 9.2999 2.3291 6.1810" Properties=species:S:1:pos:R:3 comment="RbSr2Cd2Sn2 (PBE, relaxed)" ef_mev_per_atom=-344 vol_a3_per_atom=36.6 density_g_cm3=4.69 total_magnetization_mub_per_atom=0.00 n_ef_per_ev_cell=1.8 pbc="T T T"
Rb 0.0000 0.0000 0.0000
Sr 5.2002 1.7666 4.7822
Sr 1.0058 3.2974 9.3667
Cd 0.6030 2.1890 6.2215
Cd 5.6030 2.8750 7.9275
Sn 4.5639 3.7856 10.5808
Sn 1.6421 1.2784 3.5681



[3]
8
Lattice="-1.6803 0.4294 -7.0604 1.1893 -7.1405 -0.6755 -6.0396 2.1740 5.2919" Properties=species:S:1:pos:R:3 comment="RbCd2SnTe4 (PBE, relaxed)" raw_formation_energy_ev_per_fu=-3.0 vol_a3_per_atom=43.3 density_g_cm3=4.50 total_magnetization_mub_per_atom=0.00 n_ef_per_ev_cell=4.9 pbc="T T T"
Rb -0.0342 -0.0064 0.0077
Cd -3.9813 -0.3758 -2.8185
Cd -2.5465 -4.1607 0.3739
Sn -6.2735 -1.1793 1.4214
Te -4.5540 -2.2863 -0.6639
Te -1.4610 -5.3186 -2.0878
Te -2.6886 -2.0802 -4.8193
Te -4.3417 0.6140 2.6793



[4]
16
Lattice="-4.4946 -3.2199 -4.3609 3.4823 -2.8337 -7.1820 0.4011 -13.2843 3.7099" Properties=species:S:1:pos:R:3 comment="Rb2CdSnTe4 (PBE, relaxed)" raw_formation_energy_ev_per_fu=-4.7 vol_a3_per_atom=45.2 density_g_cm3=4.19 total_magnetization_mub_per_atom=0.00 pbc="T T T"
Rb -0.5821 -8.9504 1.5232
Rb -3.5114 -7.5537 -2.1742
Rb -0.4461 -14.8078 -2.8201
Rb -2.4124 -6.1401 -7.1934
Cd -1.4293 -10.4739 -5.0067
Cd 0.0000 0.0000 0.0000
Sn 0.8180 -8.8640 -2.8263
Sn -2.2473 -1.6099 -2.1804
Te 1.3944 -4.7388 -6.5944
Te 0.1402 -13.0617 0.8435
Te -0.9507 -16.9143 -6.3017
Te -1.8065 -3.9609 -3.6134
Te 0.6586 -8.5688 -5.5943
Te -1.1685 -10.6965 -2.1403
Te -1.0898 -12.8975 -6.5380
Te 0.3772 -6.5130 -1.3933